A plane-wave DFT calculation with meta-GGA SCAN was carried out for a PBEsol-optimized structure of CaBe2H.

abc: 6.191 6.191 6.191
angles: 90.00 90.00 90.00
Space group Fm-3m (No. 225)
Unique sites:
Ca (0.000, 0.000, 0.000) x4
Be (0.250, 0.250, 0.250) x8
H (0.000, 0.000, 0.500) x4

E_tot ... -66.81 eV for the cell shown
Fermi-level density of states ... 0.68 states/eV per atom

---

A plane-wave DFT calculation with meta-GGA SCAN was carried out for a PBEsol-optimized structure of Ca3Be2P4H10O20.

abc: 6.974 15.017 7.310
angles: 90.00 96.04 90.00
Space group P2_1/c (No. 14)
Unique sites:
Ca (0.000, 0.000, 0.000) x2
Ca (0.042, 0.193, 0.357) x4
Be (0.452, 0.710, 0.128) x4
P (0.236, 0.652, 0.792) x4
P (0.352, 0.150, 0.021) x4
H (0.179, 0.514, 0.142) x4
H (0.266, 0.019, 0.370) x4
H (0.283, 0.584, 0.280) x4
H (0.377, 0.084, 0.521) x4
H (0.460, 0.562, 0.630) x4
O (0.036, 0.673, 0.849) x4
O (0.148, 0.137, 0.074) x4
O (0.152, 0.561, 0.235) x4
O (0.247, 0.060, 0.476) x4
O (0.247, 0.561, 0.692) x4
O (0.272, 0.727, 0.653) x4
O (0.352, 0.238, 0.910) x4
O (0.396, 0.646, 0.955) x4
O (0.398, 0.070, 0.894) x4
O (0.493, 0.649, 0.312) x4

E_tot ... -653.40 eV for the cell shown
Fermi-level density of states ... 0.00 states/eV per atom

---

A plane-wave DFT calculation with meta-GGA SCAN was carried out for a PBEsol-optimized structure of Ca3Be2P4H10O20.

abc: 6.974 7.300 7.660
angles: 101.64 94.58 96.49
Space group P-1 (No. 2)
Unique sites:
Ca (0.000, 0.000, 0.000) x1
Ca (0.025, 0.292, 0.616) x2
Be (0.482, 0.736, 0.420) x2
P (0.270, 0.357, 0.302) x2
P (0.317, 0.955, 0.701) x2
H (0.179, 0.648, 0.026) x2
H (0.273, 0.360, 0.959) x2
H (0.288, 0.818, 0.171) x2
H (0.377, 0.481, 0.831) x2
H (0.486, 0.159, 0.119) x2
O (0.069, 0.414, 0.331) x2
O (0.116, 0.016, 0.720) x2
O (0.154, 0.757, 0.122) x2
O (0.250, 0.450, 0.879) x2
O (0.272, 0.218, 0.119) x2
O (0.302, 0.804, 0.525) x2
O (0.318, 0.254, 0.456) x2
O (0.370, 0.861, 0.863) x2
O (0.427, 0.524, 0.302) x2
O (0.478, 0.120, 0.714) x2

E_tot ... -326.71 eV for the cell shown
Fermi-level density of states ... 0.00 states/eV per atom

---

A plane-wave DFT calculation with meta-GGA SCAN was carried out for a PBEsol-optimized structure of Ca3Be2Si3H2O12.

abc: 9.810 9.810 9.794
angles: 90.00 90.00 90.00
Space group P4_2/n (No. 86, origin choice 2)
Unique sites:
Ca (0.043, 0.435, 0.240) x8
Ca (0.250, 0.750, 0.260) x4
Be (0.037, 0.771, 0.526) x8
Si (0.038, 0.765, 0.030) x8
Si (0.250, 0.250, 0.009) x4
H (0.043, 0.244, 0.684) x8
O (0.032, 0.769, 0.865) x8
O (0.035, 0.796, 0.363) x8
O (0.104, 0.625, 0.095) x8
O (0.108, 0.629, 0.587) x8
O (0.113, 0.230, 0.400) x8
O (0.119, 0.223, 0.906) x8

E_tot ... -858.41 eV for the cell shown
Fermi-level density of states ... 0.00 states/eV per atom

---

A plane-wave DFT calculation with meta-GGA SCAN was carried out for a PBEsol-optimized structure of Ca2HfBe.

abc: 8.255 8.255 5.774
angles: 90.00 90.00 90.00
Space group I-42d (No. 122)
Unique sites:
Ca (0.191, 0.250, 0.125) x8
Hf (0.000, 0.000, 0.500) x4
Be (0.000, 0.000, 0.000) x4

ΔH_f (0 K) ... 0.872 eV/atom
Fermi-level density of states ... 1.28 states/eV per atom

---

A plane-wave DFT calculation with meta-GGA SCAN was carried out for a PBEsol-optimized structure of Ca2HfBeRu.

abc: 5.465 5.465 4.417
angles: 90.00 90.00 90.00
Space group P4/mmm (No. 123)
Unique sites:
Ca (0.000, 0.500, 0.000) x2
Hf (0.000, 0.000, 0.000) x1
Be (0.000, 0.000, 0.500) x1
Ru (0.500, 0.500, 0.500) x1

ΔH_f (0 K) ... 1.807 eV/atom
Fermi-level density of states ... 1.11 states/eV per atom

---

A plane-wave DFT calculation with meta-GGA SCAN was carried out for a PBEsol-optimized structure of CaHfBeZn2.

abc: 4.747 4.747 4.508
angles: 90.00 90.00 90.00
Space group P4/mmm (No. 123)
Unique sites:
Ca (0.000, 0.000, 0.000) x1
Hf (0.500, 0.500, 0.500) x1
Be (0.000, 0.000, 0.500) x1
Zn (0.000, 0.500, 0.000) x2

ΔH_f (0 K) ... 1.397 eV/atom
Fermi-level density of states ... 0.51 states/eV per atom

---

A plane-wave DFT calculation with meta-GGA SCAN was carried out for a PBEsol-optimized structure of CaBeHg.

abc: 6.391 6.391 6.391
angles: 90.00 90.00 90.00
Space group F-43m (No. 216)
Unique sites:
Ca (0.000, 0.000, 0.000) x4
Be (0.250, 0.250, 0.750) x4
Hg (0.000, 0.000, 0.500) x4

ΔH_f (0 K) ... 0.034 eV/atom
Fermi-level density of states ... 0.99 states/eV per atom

---

A plane-wave DFT calculation with meta-GGA SCAN was carried out for a PBEsol-optimized structure of CaBe2Hg.

abc: 4.0746 4.0746 15.5681
angles: 90.00 90.00 120.00
Space group R3m (No. 160, hexagonal axes)
Unique sites:
Ca (0.0000, 0.0000, 0.0000) x3
Be (0.0000, 0.0000, 0.4924) x3
Be (0.0000, 0.0000, 0.8116) x3
Hg (0.0000, 0.0000, 0.1941) x3

ΔH_f (0 K) ... -0.099 eV/atom
Fermi-level density of states ... 0.47 states/eV per atom

---

A plane-wave DFT calculation with meta-GGA SCAN was carried out for a PBEsol-optimized structure of Ca2BeHg.

abc: 6.924 6.924 6.924
angles: 90.00 90.00 90.00
Space group F-43m (No. 216)
Unique sites:
Ca (0.000, 0.000, 0.000) x4
Ca (0.250, 0.250, 0.250) x4
Be (0.000, 0.000, 0.500) x4
Hg (0.250, 0.250, 0.750) x4

ΔH_f (0 K) ... -0.059 eV/atom
Fermi-level density of states ... 0.03 states/eV per atom

---

A plane-wave DFT calculation with meta-GGA SCAN was carried out for a PBEsol-optimized structure of CaBe2Hg.

abc: 4.056 4.958 7.107
angles: 90.00 90.00 90.00
Space group Imm2 (No. 44)
Unique sites:
Ca (0.000, 0.000, 0.000) x2
Be (0.000, 0.000, 0.419) x2
Be (0.000, 0.500, 0.819) x2
Hg (0.000, 0.500, 0.197) x2

ΔH_f (0 K) ... 0.181 eV/atom
Fermi-level density of states ... 0.33 states/eV per atom

---

A plane-wave DFT calculation with meta-GGA SCAN was carried out for a PBEsol-optimized structure of Ca4BeHg.

abc: 9.114 9.114 9.114
angles: 90.00 90.00 90.00
Space group F-43m (No. 216)
Unique sites:
Ca (0.125, 0.125, 0.125) x16
Be (0.250, 0.250, 0.750) x4
Hg (0.000, 0.000, 0.500) x4

ΔH_f (0 K) ... 0.675 eV/atom
Fermi-level density of states ... 0.79 states/eV per atom

---

A plane-wave DFT calculation with meta-GGA SCAN was carried out for a PBEsol-optimized structure of CaBeI3.

abc: 5.261 5.261 5.261
angles: 90.00 90.00 90.00
Space group Pm-3m (No. 221)
Unique sites:
Ca (0.000, 0.000, 0.000) x1
Be (0.500, 0.500, 0.500) x1
I (0.000, 0.500, 0.500) x3

E_tot ... -126.83 eV for the cell shown
Fermi-level density of states ... 0.24 states/eV per atom

---

A plane-wave DFT calculation with meta-GGA SCAN was carried out for a PBEsol-optimized structure of Ca2BeI.

abc: 7.524 7.524 7.524
angles: 90.00 90.00 90.00
Space group Fm-3m (No. 225)
Unique sites:
Ca (0.250, 0.250, 0.250) x8
Be (0.000, 0.000, 0.000) x4
I (0.000, 0.000, 0.500) x4

E_tot ... -241.35 eV for the cell shown
Fermi-level density of states ... 1.04 states/eV per atom

---

A plane-wave DFT calculation with meta-GGA SCAN was carried out for a PBEsol-optimized structure of CaBe3I.

abc: 4.871 4.871 4.871
angles: 90.00 90.00 90.00
Space group Pm-3m (No. 221)
Unique sites:
Ca (0.000, 0.000, 0.000) x1
Be (0.000, 0.500, 0.500) x3
I (0.500, 0.500, 0.500) x1

E_tot ... -52.72 eV for the cell shown
Fermi-level density of states ... 0.59 states/eV per atom

---

A plane-wave DFT calculation with meta-GGA SCAN was carried out for a PBEsol-optimized structure of CaBeSbI2.

abc: 5.830 5.830 6.211
angles: 90.00 90.00 90.00
Space group P4/mmm (No. 123)
Unique sites:
Ca (0.000, 0.000, 0.000) x1
Be (0.500, 0.500, 0.500) x1
Sb (0.000, 0.000, 0.500) x1
I (0.000, 0.500, 0.000) x2

E_tot ... -123.11 eV for the cell shown
Fermi-level density of states ... 0.52 states/eV per atom

---

A plane-wave DFT calculation with meta-GGA SCAN was carried out for a PBEsol-optimized structure of CaBeTeI2.

abc: 5.180 5.180 5.330
angles: 90.00 90.00 90.00
Space group P4/mmm (No. 123)
Unique sites:
Ca (0.000, 0.000, 0.000) x1
Be (0.500, 0.500, 0.500) x1
Te (0.500, 0.500, 0.000) x1
I (0.000, 0.500, 0.500) x2

E_tot ... -127.28 eV for the cell shown
Fermi-level density of states ... 0.27 states/eV per atom

---

A plane-wave DFT calculation with meta-GGA SCAN was carried out for a PBEsol-optimized structure of CaBeIn2.

abc: 4.287 4.626 8.998
angles: 90.00 90.00 90.00
Space group Imm2 (No. 44)
Unique sites:
Ca (0.000, 0.000, 0.000) x2
Be (0.000, 0.500, 0.234) x2
In (0.000, 0.000, 0.553) x2
In (0.000, 0.500, 0.770) x2

ΔH_f (0 K) ... 0.045 eV/atom
Fermi-level density of states ... 0.46 states/eV per atom